[1]
VASP calculation (GGA-PBE) on a relaxed Ca2NiMoOs crystal.

Lattice parameters (Å, degrees): 5.347 5.347 4.364 90.00 90.00 90.00
Space group P4/mmm (No. 123)
Asymmetric unit:
Ca 0.000 0.500 0.000
Ni 0.000 0.000 0.500
Mo 0.000 0.000 0.000
Os 0.500 0.500 0.500

Calculated values
Uncorrected energy   -0.1695 Ha/atom
ρ   5656 kg/m³
E_form   1.757 eV per atom
Magnetic moment   3.011 μB per cell

=====

[2]
VASP calculation (GGA-PBE) on a relaxed Ca2Ni3MoP4 crystal.

Lattice parameters (Å, degrees): 4.013 4.013 9.530 90.00 90.00 90.00
Space group P-4m2 (No. 115)
Asymmetric unit:
Ca 0.000 0.500 0.232
Ni 0.000 0.500 0.885
Ni 0.500 0.500 0.500
Mo 0.000 0.000 0.500
P 0.000 0.000 0.000
P 0.000 0.500 0.639
P 0.500 0.500 0.000

Calculated values
Uncorrected energy   -0.2262 Ha/atom
ρ   5151 kg/m³
E_form   -0.772 eV per atom
Magnetic moment   0.000 μB per cell

=====

[3]
VASP calculation (GGA-PBE) on a relaxed CaNiMoRh2 crystal.

Lattice parameters (Å, degrees): 4.717 4.717 4.358 90.00 90.00 90.00
Space group P4/mmm (No. 123)
Asymmetric unit:
Ca 0.000 0.000 0.000
Ni 0.500 0.500 0.500
Mo 0.500 0.500 0.000
Rh 0.000 0.500 0.500

Calculated values
Uncorrected energy   -0.2201 Ha/atom
ρ   6861 kg/m³
E_form   0.675 eV per atom
Magnetic moment   2.189 μB per cell

=====

What is the uncorrected energy in the third record? -0.2201 Ha/atom

=====

Number 1 is which compound? Ca2NiMoOs

=====

The highest uncorrected energy belongs to which entry? Ca2NiMoOs